The following is a GGA+U calculation of VGa2SnF after structural relaxation, from Alexandria via LeMat-Bulk.

Properties
Magnetization = 1.385 μB/f.u.
Calculated total energy = -3.19 eV per atom

a b c (Å): 5.356 5.356 5.535
angles (deg): 90.00 90.00 90.00
Sites, in units of the cell vectors:
V 0.000 0.000 0.000
Ga 0.000 0.500 0.500
Ga 0.500 0.000 0.500
Sn 0.000 0.000 0.500
F 0.500 0.500 0.000